one:
KMgBe | PBE | optimized geometry

Spin magnetization, μB per formula unit: 0.0

Unit cell a=3.7501 b=3.8481 c=24.6289 alpha=90.00 beta=90.30 gamma=90.00
Element x y z (fractional)
K (0.7445, 0.0000, 0.8321)
Be (0.2509, 0.5000, 0.5223)
Be (0.7491, 0.0000, 0.9777)
Be (0.2509, 0.0000, 0.0223)
Be (0.7491, 0.5000, 0.4777)
Mg (0.2479, 0.0000, 0.4495)
Mg (0.7521, 0.5000, 0.0505)
K (0.2555, 0.0000, 0.1679)
Mg (0.7521, 0.0000, 0.5505)
Mg (0.2479, 0.5000, 0.9495)
K (0.2555, 0.5000, 0.6679)
K (0.7445, 0.5000, 0.3321)

---

two:
KMgBe | PBE | optimized geometry

Spin magnetization, μB per formula unit: 0.0

Unit cell a=12.4769 b=4.2462 c=7.4509 alpha=90.00 beta=101.20 gamma=90.00
Element x y z (fractional)
Be (0.9551, 0.0000, 0.8749)
Mg (0.9241, 0.0000, 0.5344)
K (0.5137, 0.0000, 0.0631)
Be (0.9160, 0.5000, 0.7012)
K (0.5137, 0.5000, 0.5631)
K (0.1740, 0.0000, 0.2794)
Be (0.9551, 0.5000, 0.3749)
Mg (0.7562, 0.0000, 0.8113)
Mg (0.7562, 0.5000, 0.3113)
Mg (0.9241, 0.5000, 0.0344)
Be (0.9160, 0.0000, 0.2012)
K (0.1740, 0.5000, 0.7794)

---

three:
KMgBe | PBE | optimized geometry

Spin magnetization, μB per formula unit: 0.0

Unit cell a=3.9686 b=3.9615 c=13.5098 alpha=89.90 beta=80.33 gamma=60.02
Element x y z (fractional)
Be (0.9009, 0.5834, 0.8731)
Mg (0.6470, 0.2111, 0.7667)
K (0.1463, 0.4563, 0.5291)
K (0.9811, 0.0419, 0.2174)
Be (0.2343, 0.9165, 0.8728)
Mg (0.4868, 0.2889, 0.9800)

---

Most favorable structure: three. The second most favorable one is 5.3 kJ/mol of atoms above it.